#one
First-principles (GGA-PBE) data for a relaxed PrNd4Ag crystal, as listed in the Alexandria database.

The space group is Cmc2_1 (No. 36) and the conventional cell measures 5.6624, 21.2763 and 6.6147 Å, with angles of 90.00, 90.00 and 90.00 degrees. The distinct sites, in fractional coordinates, are Pr at (0.0000, 0.1323, 0.0000), Nd at (0.0000, 0.0640, 0.4979), Nd at (0.0000, 0.2521, 0.6034), Nd at (0.0000, 0.3219, 0.1362), Nd at (0.0000, 0.4659, 0.3295) and Ag at (0.0000, 0.3940, 0.7387).

As for the total magnetization: 0.00 μB/f.u. As for the crystal system: orthorhombic.

=====

#two
First-principles (GGA-PBE) data for a relaxed PrNd4Ag crystal, as listed in the Alexandria database.

The space group is P4/mmm (No. 123) and the conventional cell measures 3.7106, 3.7106 and 14.2625 Å, with angles of 90.00, 90.00 and 90.00 degrees. The distinct sites, in fractional coordinates, are Pr at (0.0000, 0.0000, 0.0000), Nd at (0.0000, 0.0000, 0.3652), Nd at (0.5000, 0.5000, 0.1821) and Ag at (0.5000, 0.5000, 0.5000).

As for the total magnetization: 0.00 μB/f.u. As for the crystal system: tetragonal.

=====

Of them, #one has the lowest stability.

=====

#one
First-principles (GGA-PBE) data for a relaxed PrNdAg crystal, as listed in the Alexandria database.

The space group is F-43m (No. 216) and the conventional cell measures 7.3638, 7.3638 and 7.3638 Å, with angles of 90.00, 90.00 and 90.00 degrees. The distinct sites, in fractional coordinates, are Pr at (0.0000, 0.0000, 0.0000), Nd at (0.0000, 0.0000, 0.5000) and Ag at (0.2500, 0.2500, 0.2500).

As for the total magnetization: 1.19 μB/f.u. As for the crystal system: cubic.

=====

#two
First-principles (GGA-PBE) data for a relaxed PrNdAg crystal, as listed in the Alexandria database.

The space group is I4mm (No. 107) and the conventional cell measures 3.7648, 3.7648 and 12.7449 Å, with angles of 90.00, 90.00 and 90.00 degrees. The distinct sites, in fractional coordinates, are Pr at (0.0000, 0.0000, 0.0000), Nd at (0.0000, 0.0000, 0.2955) and Ag at (0.0000, 0.0000, 0.6507).

As for the total magnetization: 0.56 μB/f.u. As for the crystal system: tetragonal.

=====

#three
First-principles (GGA-PBE) data for a relaxed PrNdAg crystal, as listed in the Alexandria database.

The space group is P-1 (No. 2) and the conventional cell measures 3.8428, 6.3764 and 8.0367 Å, with angles of 76.64, 76.20 and 72.49 degrees. The distinct sites, in fractional coordinates, are Pr at (0.1547, 0.2441, 0.4456), Nd at (0.4148, 0.3232, 0.8470) and Ag at (0.1324, 0.8927, 0.8430).

As for the total magnetization: 0.00 μB/f.u. As for the crystal system: triclinic.

=====

Of them, #one has the lowest stability.

=====

#one
First-principles (GGA-PBE) data for a relaxed Pr2Nd3Ag2 crystal, as listed in the Alexandria database.

The space group is Cmmm (No. 65) and the conventional cell measures 3.7329, 31.3695 and 3.6999 Å, with angles of 90.00, 90.00 and 90.00 degrees. The distinct sites, in fractional coordinates, are Pr at (0.0000, 0.2032, 0.0000), Nd at (0.0000, 0.0826, 0.0000), Nd at (0.0000, 0.5000, 0.5000) and Ag at (0.0000, 0.3589, 0.5000).

As for the total magnetization: 0.00 μB/f.u. As for the crystal system: orthorhombic.

=====

#two
First-principles (GGA-PBE) data for a relaxed Pr2Nd3Ag2 crystal, as listed in the Alexandria database.

The space group is C2/m (No. 12) and the conventional cell measures 13.2205, 3.8748 and 9.5382 Å, with angles of 90.00, 115.92 and 90.00 degrees. The distinct sites, in fractional coordinates, are Pr at (0.1489, 0.0000, 0.3138), Nd at (0.0000, 0.5000, 0.5000), Nd at (0.1122, 0.5000, 0.9472) and Ag at (0.1696, 0.0000, 0.7282).

As for the total magnetization: 0.00 μB/f.u. As for the crystal system: monoclinic.

=====

Of them, #one has the lowest stability.

=====

#one
First-principles (GGA-PBE) data for a relaxed PrNd2Ag crystal, as listed in the Alexandria database.

The space group is P4/mmm (No. 123) and the conventional cell measures 3.7491, 3.7491 and 8.8661 Å, with angles of 90.00, 90.00 and 90.00 degrees. The distinct sites, in fractional coordinates, are Pr at (0.0000, 0.0000, 0.0000), Nd at (0.5000, 0.5000, 0.2882) and Ag at (0.0000, 0.0000, 0.5000).

As for the total magnetization: 0.00 μB/f.u. As for the crystal system: tetragonal.

=====

#two
First-principles (GGA-PBE) data for a relaxed PrNd2Ag crystal, as listed in the Alexandria database.

The space group is R3m (No. 160, hexagonal axes) and the conventional cell measures 3.7127, 3.7127 and 32.3802 Å, with angles of 90.00, 90.00 and 120.00 degrees. The distinct sites, in fractional coordinates, are Pr at (0.0000, 0.0000, 0.0000), Nd at (0.0000, 0.0000, 0.5732), Nd at (0.0000, 0.0000, 0.7611) and Ag at (0.0000, 0.0000, 0.1674).

As for the total magnetization: 0.00 μB/f.u. As for the crystal system: trigonal.

=====

Of them, #two has the lowest stability.

=====

#one
First-principles (GGA-PBE) data for a relaxed PrNd2Ag crystal, as listed in the Alexandria database.

The space group is P4/mmm (No. 123) and the conventional cell measures 5.7053, 5.7053 and 3.6982 Å, with angles of 90.00, 90.00 and 90.00 degrees. The distinct sites, in fractional coordinates, are Pr at (0.0000, 0.0000, 0.0000), Nd at (0.0000, 0.5000, 0.5000) and Ag at (0.5000, 0.5000, 0.0000).

As for the total magnetization: 0.00 μB/f.u. As for the crystal system: tetragonal.

=====

#two
First-principles (GGA-PBE) data for a relaxed PrNd2Ag crystal, as listed in the Alexandria database.

The space group is Fm-3m (No. 225) and the conventional cell measures 7.7939, 7.7939 and 7.7939 Å, with angles of 90.00, 90.00 and 90.00 degrees. The distinct sites, in fractional coordinates, are Pr at (0.0000, 0.0000, 0.0000), Nd at (0.2500, 0.2500, 0.2500) and Ag at (0.0000, 0.0000, 0.5000).

As for the total magnetization: 2.12 μB/f.u. As for the crystal system: cubic.

=====

#three
First-principles (GGA-PBE) data for a relaxed PrNd2Ag crystal, as listed in the Alexandria database.

The space group is R-3m (No. 166, hexagonal axes) and the conventional cell measures 3.5063, 3.5063 and 35.8520 Å, with angles of 90.00, 90.00 and 120.00 degrees. The distinct sites, in fractional coordinates, are Pr at (0.0000, 0.0000, 0.0000), Nd at (0.0000, 0.0000, 0.0974) and Ag at (0.0000, 0.0000, 0.5000).

As for the total magnetization: 0.00 μB/f.u. As for the crystal system: trigonal.

=====

Of them, #three has the lowest stability.

=====

#one
First-principles (GGA-PBE) data for a relaxed PrNd2Ag6 crystal, as listed in the Alexandria database.

The space group is P6/mmm (No. 191) and the conventional cell measures 8.3484, 8.3484 and 3.5958 Å, with angles of 90.00, 90.00 and 120.00 degrees. The distinct sites, in fractional coordinates, are Pr at (0.0000, 0.0000, 0.0000), Nd at (0.3333, 0.6667, 0.0000) and Ag at (0.0000, 0.3338, 0.5000).

As for the total magnetization: 0.00 μB/f.u. As for the crystal system: hexagonal.

=====

#two
First-principles (GGA-PBE) data for a relaxed PrNd2Ag6 crystal, as listed in the Alexandria database.

The space group is Immm (No. 71) and the conventional cell measures 3.6227, 8.1018 and 14.9902 Å, with angles of 90.00, 90.00 and 90.00 degrees. The distinct sites, in fractional coordinates, are Pr at (0.0000, 0.0000, 0.0000), Nd at (0.0000, 0.5000, 0.1424), Ag at (0.0000, 0.1800, 0.5000) and Ag at (0.0000, 0.3214, 0.3256).

As for the total magnetization: 0.00 μB/f.u. As for the crystal system: orthorhombic.

=====

Of them, #two has the lowest stability.

=====

#one
First-principles (GGA-PBE) data for a relaxed Pr2Nd2Ag crystal, as listed in the Alexandria database.

The space group is C2/m (No. 12) and the conventional cell measures 8.3454, 9.6819 and 8.6663 Å, with angles of 90.00, 113.87 and 90.00 degrees. The distinct sites, in fractional coordinates, are Pr at (0.1664, 0.0000, 0.4365), Pr at (0.2226, 0.5000, 0.1108), Nd at (0.0807, 0.3105, 0.7242) and Ag at (0.0000, 0.1572, 0.0000).

As for the total magnetization: 0.00 μB/f.u. As for the crystal system: monoclinic.

=====

#two
First-principles (GGA-PBE) data for a relaxed Pr2Nd2Ag crystal, as listed in the Alexandria database.

The space group is I4/mmm (No. 139) and the conventional cell measures 3.7194, 3.7194 and 23.3362 Å, with angles of 90.00, 90.00 and 90.00 degrees. The distinct sites, in fractional coordinates, are Pr at (0.0000, 0.0000, 0.1943), Nd at (0.0000, 0.0000, 0.4176) and Ag at (0.0000, 0.0000, 0.0000).

As for the total magnetization: 0.00 μB/f.u. As for the crystal system: tetragonal.

=====

Of them, #one has the lowest stability.

=====

#one
First-principles (GGA-PBE) data for a relaxed PrNdSmAg crystal, as listed in the Alexandria database.

The space group is F-43m (No. 216) and the conventional cell measures 7.7600, 7.7600 and 7.7600 Å, with angles of 90.00, 90.00 and 90.00 degrees. The distinct sites, in fractional coordinates, are Pr at (0.0000, 0.0000, 0.0000), Nd at (0.2500, 0.2500, 0.2500), Sm at (0.2500, 0.2500, 0.7500) and Ag at (0.0000, 0.0000, 0.5000).

As for the total magnetization: 2.22 μB/f.u. As for the crystal system: cubic.

=====

#two
First-principles (GGA-PBE) data for a relaxed PrNdSmAg crystal, as listed in the Alexandria database.

The space group is P4mm (No. 99) and the conventional cell measures 3.7295, 3.7295 and 8.8517 Å, with angles of 90.00, 90.00 and 90.00 degrees. The distinct sites, in fractional coordinates, are Pr at (0.0000, 0.0000, 0.0000), Nd at (0.5000, 0.5000, 0.2916), Sm at (0.5000, 0.5000, 0.7126) and Ag at (0.0000, 0.0000, 0.5084).

As for the total magnetization: 0.00 μB/f.u. As for the crystal system: tetragonal.

=====

Of them, #one has the lowest stability.